Below is a relaxed structure of ZnRuAu, with properties calculated at the GGA-PBEsol level.

The structure in CIF format:
```
data_ZnRuAu
_space_group_name_H-M_alt 'P 1'
_space_group_IT_number 1
_cell_length_a 2.737
_cell_length_b 2.737
_cell_length_c 6.153
_cell_angle_alpha 102.85
_cell_angle_beta 102.85
_cell_angle_gamma 90.00
loop_
_space_group_symop_operation_xyz
'x,y,z'
loop_
_atom_site_label
_atom_site_type_symbol
_atom_site_fract_x
_atom_site_fract_y
_atom_site_fract_z
Ru1 Ru 0.674 0.674 0.349
Zn1 Zn 0.328 0.328 0.655
Au1 Au 0.998 0.998 0.996
```

Space group: I4mm (107)
Offset from the most stable computed form, eV per atom: 0.000
Density, g/cm³: 13.8
Fermi-level density of states, states/eV per cell: 3.2
Volume, Å³/cell: 43.8
Energy, eV/cell: -15.23